<one>
First-principles (PBE-GGA) data for ZrIn2Cl6 after structural relaxation, as listed in Alexandria.

For the total moment, the calculation gives 0.00 Bohr magnetons per cell.

The space group is C2/m (No. 12) and the conventional cell measures 12.5770, 7.2837 and 6.2705 Å, with angles of 90.00, 90.80 and 90.00 degrees. Symmetry generates all atoms from Zr at (0.0000, 0.0000, 0.0000), In at (0.1691, 0.5000, 0.1456), Cl at (0.0815, 0.2446, 0.7774) and Cl at (0.1642, 0.0000, 0.2270).

=====

<two>
First-principles (PBE-GGA) data for ZrIn2Cl6 after structural relaxation, as listed in Alexandria.

For the total moment, the calculation gives 0.00 Bohr magnetons per cell.

The space group is P2_1/c (No. 14) and the conventional cell measures 7.1542, 8.3147 and 12.0014 Å, with angles of 90.00, 123.94 and 90.00 degrees. Symmetry generates all atoms from Zr at (0.0000, 0.0000, 0.0000), In at (0.2803, 0.0986, 0.7589), Cl at (0.1417, 0.0355, 0.2413), Cl at (0.2192, 0.7459, 0.0556) and Cl at (0.3302, 0.1564, 0.0380).

=====

The energetic minimum among the shown structures is <two>; the next structure lies 23 meV/atom above.